Entry 1:
# SiTcSe2, optimized geometry, DFT PBE-GGA
# Formation energy without anion corrections, eV per atom: 0.30
# Density of states at the Fermi level, states/eV per atom: 0.882
# E_tot, eV per atom: -5.385
# Space-group type: P4/mmm
# M_tot, μB per formula unit: 0.00
data_SiTcSe2
_cell_length_a 3.120
_cell_length_b 3.120
_cell_length_c 6.957
_cell_angle_alpha 90.00
_cell_angle_beta 90.00
_cell_angle_gamma 90.00
_space_group_name_H-M_alt 'P 1'
_space_group_IT_number 1
_space_group_name_Hall 'P 1'
loop_
_atom_site_label
_atom_site_type_symbol
_atom_site_fract_x
_atom_site_fract_y
_atom_site_fract_z
Si1 Si 0.000 0.000 0.000
Tc1 Tc 0.000 0.000 0.500
Se1 Se 0.500 0.500 0.278
Se2 Se 0.500 0.500 0.722

Entry 2:
# SiTcSe, optimized geometry, DFT PBE-GGA
# Formation energy without anion corrections, eV per atom: 0.54
# Density of states at the Fermi level, states/eV per atom: 0.857
# E_tot, eV per atom: -5.880
# Space-group type: F-43m
# M_tot, μB per formula unit: 0.00
data_SiTcSe
_cell_length_a 4.203
_cell_length_b 4.203
_cell_length_c 4.203
_cell_angle_alpha 60.00
_cell_angle_beta 60.00
_cell_angle_gamma 60.00
_space_group_name_H-M_alt 'P 1'
_space_group_IT_number 1
_space_group_name_Hall 'P 1'
loop_
_atom_site_label
_atom_site_type_symbol
_atom_site_fract_x
_atom_site_fract_y
_atom_site_fract_z
Si1 Si 0.000 0.000 0.000
Tc1 Tc 0.750 0.750 0.750
Se1 Se 0.250 0.250 0.250

Entry 3:
# SiTc2Se, optimized geometry, DFT PBE-GGA
# Formation energy without anion corrections, eV per atom: 0.28
# Density of states at the Fermi level, states/eV per atom: 1.185
# E_tot, eV per atom: -7.127
# Space-group type: Cmmm
# M_tot, μB per formula unit: 0.00
data_SiTc2Se
_cell_length_a 2.886
_cell_length_b 2.886
_cell_length_c 8.092
_cell_angle_alpha 90.00
_cell_angle_beta 90.00
_cell_angle_gamma 115.57
_space_group_name_H-M_alt 'P 1'
_space_group_IT_number 1
_space_group_name_Hall 'P 1'
loop_
_atom_site_label
_atom_site_type_symbol
_atom_site_fract_x
_atom_site_fract_y
_atom_site_fract_z
Si1 Si 0.000 0.000 0.000
Tc1 Tc 0.500 0.500 0.228
Tc2 Tc 0.500 0.500 0.772
Se1 Se 0.000 0.000 0.500